First-principles (PBE) data for KBeTlF6 after structural relaxation, as listed in the Alexandria database.

Cell and atoms, written as POSCAR:
```
KBeTlF6
1.0
-3.588 3.787 -1.310
-4.931 -0.110 2.145
1.805 3.202 4.314
K Be Tl F
1 1 1 6
Direct
0.000 0.000 0.000
0.333 0.333 0.500
0.667 0.667 0.500
0.055 0.348 0.314
0.348 0.055 0.686
0.597 0.348 0.686
0.055 0.597 0.686
0.348 0.597 0.314
0.597 0.055 0.314
```

Results
Electronic total energy in eV/atom: -4.494